No. 1
The following is a PBE-GGA calculation of a geometry-optimized MnFeHg structure, from the Alexandria database.

The formation energy comes out at 0.52 eV per atom. The crystal system is hexagonal. As for the volume: 45 Å³/cell. The value obtained for the raw total energy is -5.457 eV per atom.

It has space group P-6m2 (No. 187), with a = 4.3096 Å, b = 4.3096 Å, c = 2.8265 Å, α = 90.00°, β = 90.00° and γ = 120.00°. The inequivalent atoms are Mn at (0.0000, 0.0000, 0.0000), Fe at (0.3333, 0.6667, 0.0000) and Hg at (0.6667, 0.3333, 0.5000).

***

No. 2
The following is a PBE-GGA calculation of a geometry-optimized Mn2FeHg structure, from the Alexandria database.

The formation energy comes out at 0.45 eV per atom. The crystal system is monoclinic. As for the volume: 123 Å³/cell. The value obtained for the raw total energy is -6.330 eV per atom.

It has space group C2/m (No. 12), with a = 8.998 Å, b = 2.893 Å, c = 4.859 Å, α = 90.00°, β = 102.67° and γ = 90.00°. The inequivalent atoms are Mn at (0.243, 0.000, 0.228), Fe at (0.000, 0.500, 0.000) and Hg at (0.000, 0.000, 0.500).

***

No. 3
The following is a PBE-GGA calculation of a geometry-optimized Mn2FeHg structure, from the Alexandria database.

The formation energy comes out at 0.39 eV per atom. The crystal system is tetragonal. As for the volume: 122 Å³/cell. The value obtained for the raw total energy is -6.383 eV per atom.

It has space group I4/mmm (No. 139), with a = 3.942 Å, b = 3.942 Å, c = 7.850 Å, α = 90.00°, β = 90.00° and γ = 90.00°. The inequivalent atoms are Mn at (0.000, 0.500, 0.250), Fe at (0.000, 0.000, 0.000) and Hg at (0.000, 0.000, 0.500).